# Li2Ca2Cd

Li2Ca2Cd after structural relaxation (PBE, Alexandria via LeMat-Bulk).

Lattice parameters (Å, degrees): 3.8578 3.8578 9.9577 78.83 78.83 90.00
Last column: nearest neighbours and their distance in Å.
Positions (direct):
Li  0.2500  0.7500  0.5000  4 Li 2.73
Li  0.7500  0.2500  0.5000  4 Li 2.73
Ca  0.5993  0.5993  0.8014  4 Cd 3.33, 4 Li 3.47
Ca  0.4007  0.4007  0.1986  4 Cd 3.33, 4 Li 3.47
Cd  0.0000  0.0000  0.0000  8 Ca 3.33

Computed properties:
- Energy above the lowest structure with this stoichiometry: 79 meV per atom
- Total DFT energy (no corrections): -0.0668 hartree per atom
- E_form: -0.069 eV per atom
- Space group: I4/mmm (139)
- V: 142.5 Å³/cell



# PaAlGa2Co4

PaAlGa2Co4 after structural relaxation (PBE, Alexandria via LeMat-Bulk).

Lattice parameters (Å, degrees): 3.9931 3.9931 8.3215 76.12 76.12 60.00
Last column: nearest neighbours and their distance in Å.
Positions (direct):
Co  0.6016  0.6016  0.1953  3 Ga 2.41, 1 Al 2.44
Co  0.8687  0.8687  0.3940  3 Al 2.46, 4 Ga 2.47-2.57
Co  0.3984  0.3984  0.8047  3 Ga 2.41, 1 Al 2.44
Co  0.1313  0.1313  0.6060  3 Al 2.46, 4 Ga 2.47-2.57
Ga  0.2385  0.2385  0.2846  7 Co 2.41-2.57
Ga  0.7615  0.7615  0.7154  7 Co 2.41-2.57
Pa  0.0000  0.0000  0.0000  6 Co 2.78
Al  0.5000  0.5000  0.5000  8 Co 2.44-2.46

Computed properties:
- Total DFT energy (no corrections): -0.2334 hartree per atom
- E_form: -0.386 eV per atom
- Space group: R-3m (166)
- V: 110.4 Å³/cell



# Ti6InMo

Ti6InMo after structural relaxation (PBE, Alexandria via LeMat-Bulk).

Lattice parameters (Å, degrees): 7.4865 7.1709 5.1826 46.26 43.79 58.59
Last column: nearest neighbours and their distance in Å.
Positions (direct):
Ti  0.7579  0.9919  0.7160  2 Ti 2.55-2.68, 1 Mo 2.68
Ti  0.5334  0.2421  0.2161  2 Ti 2.55-2.68, 1 Mo 2.68
Ti  0.2421  0.0081  0.2840  2 Ti 2.55-2.68, 1 Mo 2.68
Ti  0.4666  0.7579  0.7839  2 Ti 2.55-2.68, 1 Mo 2.68
Ti  0.0078  0.4671  0.7670  2 Ti 2.55-2.68, 1 Mo 2.68
Ti  0.9922  0.5329  0.2330  2 Ti 2.55-2.68, 1 Mo 2.68
In  0.5000  0.5000  0.5000  12 Ti 2.90-2.94
Mo  0.0000  0.0000  0.0000  6 Ti 2.68

Computed properties:
- Energy above the lowest structure with this stoichiometry: 8 meV per atom
- Total DFT energy (no corrections): -0.2811 hartree per atom
- E_form: -0.032 eV per atom
- Space group: R-3 (148)
- V: 139.0 Å³/cell



# Be2GeSeO

Be2GeSeO after structural relaxation (PBE, Alexandria via LeMat-Bulk).

Lattice parameters (Å, degrees): 4.1088 5.2220 4.1088 90.00 90.00 90.00
Last column: nearest neighbours and their distance in Å.
Positions (direct):
Be  0.0000  0.0000  0.5000  2 Ge 2.05
Be  0.5000  0.0000  0.0000  2 Ge 2.05
Se  0.0000  0.5000  0.0000  2 Ge 2.61, 4 O 2.91
O  0.5000  0.5000  0.5000  4 Se 2.91
Ge  0.0000  0.0000  0.0000  4 Be 2.05

Computed properties:
- Total DFT energy (no corrections): -0.1154 hartree per atom
- ΔE_f (raw): 0.962 eV per atom
- Space group: P4/mmm (123)
- V: 88.2 Å³/cell



# CsNbV2P

CsNbV2P after structural relaxation (PBE, Alexandria via LeMat-Bulk).

Lattice parameters (Å, degrees): 4.8031 4.8031 5.7662 90.00 90.00 90.00
Last column: nearest neighbours and their distance in Å.
Positions (direct):
Cs  0.0000  0.0000  0.5000  2 Nb 2.88
P  0.5000  0.5000  0.5000  4 Cs 3.40, 8 V 3.75
V  0.5000  0.0000  0.0000  2 Nb 2.40
V  0.0000  0.5000  0.0000  2 Nb 2.40
Nb  0.0000  0.0000  0.0000  4 V 2.40

Computed properties:
- Total DFT energy (no corrections): -0.1871 hartree per atom
- E_form: 1.821 eV per atom
- Space group: P4/mmm (123)
- V: 133.0 Å³/cell



# RbSr2Al

RbSr2Al after structural relaxation (PBE, Alexandria via LeMat-Bulk).

Lattice parameters (Å, degrees): 4.3623 4.3623 13.2986 80.56 80.56 60.00
Last column: nearest neighbours and their distance in Å.
Positions (direct):
Sr  0.8878  0.8878  0.3366  3 Al 3.30
Sr  0.1122  0.1122  0.6634  3 Al 3.30
Rb  0.0000  0.0000  0.0000  6 Rb 4.36, 2 Sr 4.40
Al  0.5000  0.5000  0.5000  6 Sr 3.30

Computed properties:
- Energy above the lowest structure with this stoichiometry: 144 meV per atom
- Total DFT energy (no corrections): -0.0686 hartree per atom
- E_form: 0.151 eV per atom
- Space group: R-3m (166)
- V: 215.2 Å³/cell



# EuYBi2

EuYBi2 after structural relaxation (PBE, Alexandria via LeMat-Bulk).

Lattice parameters (Å, degrees): 3.4979 5.9395 5.9395 90.00 90.00 90.00
Last column: nearest neighbours and their distance in Å.
Positions (direct):
Y  0.5000  0.5000  0.5000  8 Bi 3.45, 2 Y 3.50
Bi  0.0000  0.0000  0.5000  4 Y 3.45, 4 Eu 3.45, 2 Bi 3.50
Bi  0.0000  0.5000  0.0000  4 Y 3.45, 4 Eu 3.45, 2 Bi 3.50
Eu  0.5000  0.0000  0.0000  8 Bi 3.45, 2 Eu 3.50

Computed properties:
- Energy above the lowest structure with this stoichiometry: 113 meV per atom
- Total DFT energy (no corrections): -0.2508 hartree per atom
- E_form: -0.700 eV per atom
- Space group: P4/mmm (123)
- V: 123.4 Å³/cell



# CuPd6Pt5

CuPd6Pt5 after structural relaxation (PBE, Alexandria via LeMat-Bulk).

Lattice parameters (Å, degrees): 3.9539 6.2327 7.8417 90.00 90.00 108.50
Last column: nearest neighbours and their distance in Å.
Positions (direct):
Pt  0.6637  0.3278  0.0000  8 Pd 2.72-2.78, 2 Cu 2.77, 2 Pt 2.84
Pt  0.6650  0.3303  0.5000  4 Pt 2.78-2.82, 8 Pd 2.80-2.83
Pt  0.3350  0.6697  0.5000  4 Pt 2.78-2.82, 8 Pd 2.80-2.83
Pt  0.3363  0.6722  0.0000  8 Pd 2.72-2.78, 2 Cu 2.77, 2 Pt 2.84
Pt  0.0000  0.0000  0.5000  4 Pt 2.78, 8 Pd 2.80-2.82
Pd  0.1657  0.3315  0.2451  1 Cu 2.74, 7 Pt 2.76-2.83, 4 Pd 2.78-2.81
Pd  0.8343  0.6685  0.7549  1 Cu 2.74, 7 Pt 2.76-2.83, 4 Pd 2.78-2.81
Pd  0.1657  0.3315  0.7549  1 Cu 2.74, 7 Pt 2.76-2.83, 4 Pd 2.78-2.81
Pd  0.5000  0.0000  0.7565  6 Pt 2.72-2.82, 2 Cu 2.75, 4 Pd 2.78
Pd  0.8343  0.6685  0.2451  1 Cu 2.74, 7 Pt 2.76-2.83, 4 Pd 2.78-2.81
Pd  0.5000  0.0000  0.2435  6 Pt 2.72-2.82, 2 Cu 2.75, 4 Pd 2.78
Cu  0.0000  0.0000  0.0000  8 Pd 2.74-2.75, 4 Pt 2.77

Computed properties:
- Total DFT energy (no corrections): -0.2021 hartree per atom
- E_form: -0.044 eV per atom
- Space group: Cmmm (65)
- V: 183.3 Å³/cell



# CaSm2Ho

CaSm2Ho after structural relaxation (PBE, Alexandria via LeMat-Bulk).

Lattice parameters (Å, degrees): 3.6275 3.6275 12.3065 81.52 81.52 60.00
Last column: nearest neighbours and their distance in Å.
Positions (direct):
Ca  0.5002  0.5002  0.4993  6 Ca 3.63, 6 Sm 3.83-3.85
Ho  0.6665  0.6665  0.0006  6 Sm 3.53-3.54, 6 Ho 3.63
Sm  0.2552  0.2552  0.2344  3 Ho 3.53, 6 Sm 3.63, 3 Ca 3.83
Sm  0.0781  0.0781  0.7657  3 Ho 3.54, 6 Sm 3.63, 3 Ca 3.85

Computed properties:
- Energy above the lowest structure with this stoichiometry: 2 meV per atom
- Total DFT energy (no corrections): -0.1454 hartree per atom
- E_form: 0.047 eV per atom
- Space group: R3m (160)
- V: 138.2 Å³/cell



# PrTm2In4

PrTm2In4 after structural relaxation (PBE, Alexandria via LeMat-Bulk).

Lattice parameters (Å, degrees): 5.9549 5.9549 7.1486 114.61 114.61 90.00
Last column: nearest neighbours and their distance in Å.
Positions (direct):
Tm  0.6451  0.6451  0.2901  8 In 3.21-3.42, 1 Tm 3.35
Tm  0.3549  0.3549  0.7099  8 In 3.21-3.42, 1 Tm 3.35
In  0.0000  0.5000  0.0000  2 In 2.89, 2 Pr 2.98
In  0.5000  0.0000  0.0000  2 In 2.89, 2 Pr 2.98
In  0.2500  0.7500  0.5000  2 In 2.89, 4 Tm 3.21
In  0.7500  0.2500  0.5000  2 In 2.89, 4 Tm 3.21
Pr  0.0000  0.0000  0.0000  4 In 2.98

Computed properties:
- Energy above the lowest structure with this stoichiometry: 147 meV per atom
- Total DFT energy (no corrections): -0.1348 hartree per atom
- E_form: -0.143 eV per atom
- Space group: I4/mmm (139)
- V: 204.9 Å³/cell